1.
# Ca4PW

A relaxed Ca4PW crystal (PBE, Alexandria).

abc: 6.1678 6.1678 6.1678
angles: 60.00 60.00 60.00
With the nearest neighbours (Å) after each atom.
Atoms (fractional coordinates):
Ca1 0.1255 0.1255 0.1255  6 Ca 3.07-3.10
Ca2 0.1255 0.1255 0.6236  6 Ca 3.07-3.10
Ca3 0.1255 0.6236 0.1255  6 Ca 3.07-3.10
Ca4 0.6236 0.1255 0.1255  6 Ca 3.07-3.10
P1 0.7500 0.7500 0.7500  12 Ca 3.62, 4 W 3.78
W1 0.5000 0.5000 0.5000  12 Ca 3.61, 4 P 3.78

Output
Spin magnetization, μB per cell: 2.98
Space group: No. 216
N(E_F), states/eV/atom: 0.67
VASP energy, eV/atom: -3.289

2.
# Dy4TcSn

A relaxed Dy4TcSn crystal (PBE, Alexandria).

abc: 8.0258 8.0258 6.1552
angles: 102.55 102.55 112.99
With the nearest neighbours (Å) after each atom.
Atoms (fractional coordinates):
Dy1 0.0581 0.7202 0.9374  2 Tc 2.87-2.89
Dy2 0.2085 0.3513 0.6544  2 Tc 2.90-2.92, 1 Sn 3.22
Dy3 0.2798 0.9419 0.5626  2 Tc 2.87-2.89
Dy4 0.3513 0.2085 0.1544  2 Tc 2.90-2.92, 1 Sn 3.22
Dy5 0.6487 0.7915 0.8456  2 Tc 2.90-2.92, 1 Sn 3.22
Dy6 0.7202 0.0581 0.4374  2 Tc 2.87-2.89
Dy7 0.7915 0.6487 0.3456  2 Tc 2.90-2.92, 1 Sn 3.22
Dy8 0.9419 0.2798 0.0626  2 Tc 2.87-2.89
Tc1 0.0006 0.9994 0.2500  8 Dy 2.87-2.92, 2 Tc 3.08
Tc2 0.9994 0.0006 0.7500  8 Dy 2.87-2.92, 2 Tc 3.08
Sn1 0.3722 0.6278 0.2500  8 Dy 3.22-3.49
Sn2 0.6278 0.3722 0.7500  8 Dy 3.22-3.49

Output
Spin magnetization, μB per cell: 0.00
Space group: No. 15
N(E_F), states/eV/atom: 0.93
VASP energy, eV/atom: -5.818

3.
# CsLaO2

A relaxed CsLaO2 crystal (PBE, Alexandria).

abc: 3.9983 3.9983 5.3042
angles: 90.00 90.00 90.00
With the nearest neighbours (Å) after each atom.
Atoms (fractional coordinates):
Cs1 0.0000 0.0000 0.0000  6 O 2.65-2.83
La1 0.5000 0.5000 0.5000  6 O 2.65-2.83
O1 0.0000 0.0000 0.5000  2 Cs 2.65, 4 La 2.83
O2 0.5000 0.5000 0.0000  2 La 2.65, 4 Cs 2.83

Output
Spin magnetization, μB per cell: 0.00
Space group: No. 123
Formation energy from raw total energies, eV per atom: -1.81
N(E_F), states/eV/atom: 0.07
VASP energy, eV/atom: -5.738

4.
# PmNd2Y

A relaxed PmNd2Y crystal (PBE, Alexandria).

abc: 3.6505 3.6505 35.5910
angles: 90.00 90.00 120.00
With the nearest neighbours (Å) after each atom.
Atoms (fractional coordinates):
Pm1 0.0000 0.0000 0.0000  6 Pm 3.65, 6 Nd 3.66
Pm2 0.3333 0.6667 0.6667  6 Pm 3.65, 6 Nd 3.66
Pm3 0.6667 0.3333 0.3333  6 Pm 3.65, 6 Nd 3.66
Nd1 0.0000 0.0000 0.2492  3 Y 3.61, 6 Nd 3.65, 3 Pm 3.66
Nd2 0.0000 0.0000 0.7508  3 Y 3.61, 6 Nd 3.65, 3 Pm 3.66
Nd3 0.3333 0.6667 0.4175  3 Y 3.61, 6 Nd 3.65, 3 Pm 3.66
Nd4 0.3333 0.6667 0.9158  3 Y 3.61, 6 Nd 3.65, 3 Pm 3.66
Nd5 0.6667 0.3333 0.0842  3 Y 3.61, 6 Nd 3.65, 3 Pm 3.66
Nd6 0.6667 0.3333 0.5825  3 Y 3.61, 6 Nd 3.65, 3 Pm 3.66
Y1 0.0000 0.0000 0.5000  6 Nd 3.61, 6 Y 3.65
Y2 0.3333 0.6667 0.1667  6 Nd 3.61, 6 Y 3.65
Y3 0.6667 0.3333 0.8333  6 Nd 3.61, 6 Y 3.65

Output
Spin magnetization, μB per cell: 0.00
Space group: No. 166
Energy above the most stable polymorph in this dataset, meV per atom: 0
N(E_F), states/eV/atom: 1.29
VASP energy, eV/atom: -5.177